No. 1
Here is NbSbOsI2 after structural relaxation from Alexandria. Energies are from PBE.

Cell lengths 5.411, 5.411, 5.559 Å; angles 90.00, 90.00, 90.00 degrees
Element x y z (fractional)
Nb: 0.000 0.000 0.000
Sb: 0.000 0.000 0.500
Os: 0.500 0.500 0.500
I: 0.000 0.500 0.000
I: 0.500 0.000 0.000

Output
crystal system = tetragonal
energy relative to the lowest polymorph listed for this composition = 231 meV per atom
total magnetic moment = 3.6 μB per formula unit
ΔE_f (raw) = 1.53 eV per atom

=====

No. 2
Here is PmNdZnIr after structural relaxation from Alexandria. Energies are from PBE.

Cell lengths 5.082, 5.082, 5.082 Å; angles 60.00, 60.00, 60.00 degrees
Element x y z (fractional)
Pm: 0.000 0.000 0.000
Nd: 0.500 0.500 0.500
Zn: 0.750 0.750 0.750
Ir: 0.250 0.250 0.250

Output
energy of formation = -0.489 eV per atom
crystal system = cubic
energy relative to the lowest polymorph listed for this composition = 32 meV per atom
total magnetic moment = 0.0 μB per formula unit

=====

No. 3
Here is ErTm2Zn2In2 after structural relaxation from Alexandria. Energies are from PBE.

Cell lengths 9.278, 9.278, 9.278 Å; angles 29.27, 29.27, 29.27 degrees
Element x y z (fractional)
Er: 0.000 0.000 0.000
Tm: 0.128 0.128 0.128
Tm: 0.872 0.872 0.872
Zn: 0.396 0.396 0.396
Zn: 0.604 0.604 0.604
In: 0.262 0.262 0.262
In: 0.738 0.738 0.738

Output
energy of formation = -0.246 eV per atom
crystal system = trigonal
total magnetic moment = 0.0 μB per formula unit

=====

No. 4
Here is Nd8Er5In after structural relaxation from Alexandria. Energies are from PBE.

Cell lengths 8.843, 8.843, 8.467 Å; angles 117.38, 117.38, 56.77 degrees
Element x y z (fractional)
Nd: 0.112 0.527 0.085
Nd: 0.122 0.122 0.180
Nd: 0.417 0.227 0.775
Nd: 0.473 0.888 0.915
Nd: 0.589 0.045 0.425
Nd: 0.773 0.583 0.225
Nd: 0.878 0.878 0.820
Nd: 0.955 0.411 0.575
Er: 0.041 0.959 0.500
Er: 0.270 0.532 0.548
Er: 0.468 0.730 0.452
Er: 0.651 0.256 0.226
Er: 0.744 0.349 0.774
In: 0.344 0.656 0.000

Output
energy of formation = 0.100 eV per atom
crystal system = monoclinic
total magnetic moment = 0.0 μB per formula unit

=====

No. 5
Here is Dy2AlGa2Ru5 after structural relaxation from Alexandria. Energies are from PBE.

Cell lengths 9.917, 9.917, 3.392 Å; angles 90.00, 90.00, 90.00 degrees
Element x y z (fractional)
Dy: 0.170 0.330 0.000
Dy: 0.330 0.830 0.000
Dy: 0.670 0.170 0.000
Dy: 0.830 0.670 0.000
Al: 0.000 0.000 0.000
Al: 0.500 0.500 0.000
Ga: 0.131 0.631 0.000
Ga: 0.369 0.131 0.000
Ga: 0.631 0.869 0.000
Ga: 0.869 0.369 0.000
Ru: 0.000 0.500 0.500
Ru: 0.063 0.807 0.500
Ru: 0.193 0.063 0.500
Ru: 0.307 0.563 0.500
Ru: 0.437 0.307 0.500
Ru: 0.500 0.000 0.500
Ru: 0.563 0.693 0.500
Ru: 0.693 0.437 0.500
Ru: 0.807 0.937 0.500
Ru: 0.937 0.193 0.500

Output
energy of formation = -0.365 eV per atom
crystal system = tetragonal
total magnetic moment = 1.1 μB per formula unit

=====

No. 6
Here is Ba2FeHg after structural relaxation from Alexandria. Energies are from PBE.

Cell lengths 5.570, 5.570, 5.570 Å; angles 60.00, 60.00, 60.00 degrees
Element x y z (fractional)
Ba: 0.000 0.000 0.000
Ba: 0.250 0.250 0.250
Fe: 0.500 0.500 0.500
Hg: 0.750 0.750 0.750

Output
energy of formation = 0.402 eV per atom
crystal system = cubic
total magnetic moment = 3.1 μB per formula unit

=====

No. 7
Here is SmU2Se5 after structural relaxation from Alexandria. Energies are from PBE.

Cell lengths 12.491, 8.240, 7.783 Å; angles 90.00, 90.00, 90.00 degrees
Element x y z (fractional)
Sm: 0.006 0.250 0.083
Sm: 0.494 0.750 0.583
Sm: 0.506 0.250 0.417
Sm: 0.994 0.750 0.917
U: 0.182 0.501 0.510
U: 0.182 0.999 0.510
U: 0.318 0.001 0.010
U: 0.318 0.499 0.010
U: 0.682 0.501 0.990
U: 0.682 0.999 0.990
U: 0.818 0.001 0.490
U: 0.818 0.499 0.490
Se: 0.001 0.250 0.470
Se: 0.108 0.546 0.162
Se: 0.108 0.954 0.162
Se: 0.184 0.250 0.821
Se: 0.217 0.750 0.792
Se: 0.283 0.250 0.292
Se: 0.316 0.750 0.321
Se: 0.392 0.046 0.662
Se: 0.392 0.454 0.662
Se: 0.499 0.750 0.970
Se: 0.501 0.250 0.030
Se: 0.608 0.546 0.338
Se: 0.608 0.954 0.338
Se: 0.684 0.250 0.679
Se: 0.717 0.750 0.708
Se: 0.783 0.250 0.208
Se: 0.816 0.750 0.179
Se: 0.892 0.046 0.838
Se: 0.892 0.454 0.838
Se: 0.999 0.750 0.530

Output
crystal system = orthorhombic
energy relative to the lowest polymorph listed for this composition = 0 meV per atom
total magnetic moment = 5.0 μB per formula unit
ΔE_f (raw) = -1.34 eV per atom

=====

No. 8
Here is K3TcBr7 after structural relaxation from Alexandria. Energies are from PBE.

Cell lengths 7.232, 7.232, 7.990 Å; angles 99.32, 99.32, 93.81 degrees
Element x y z (fractional)
K: 0.000 0.000 0.000
K: 0.287 0.725 0.547
K: 0.725 0.287 0.547
Tc: 0.482 0.482 0.039
Br: 0.160 0.498 0.863
Br: 0.330 0.330 0.262
Br: 0.460 0.806 0.206
Br: 0.498 0.160 0.863
Br: 0.640 0.640 0.831
Br: 0.806 0.460 0.206
Br: 0.925 0.925 0.589

Output
crystal system = monoclinic
total magnetic moment = 2.9 μB per formula unit
ΔE_f (raw) = -1.10 eV per atom

=====

No. 9
Here is La5Tl2CdRh2 after structural relaxation from Alexandria. Energies are from PBE.

Cell lengths 12.291, 12.291, 3.894 Å; angles 90.00, 90.00, 90.00 degrees
Element x y z (fractional)
La: 0.000 0.500 0.000
La: 0.073 0.209 0.000
La: 0.209 0.927 0.000
La: 0.291 0.427 0.000
La: 0.427 0.709 0.000
La: 0.500 0.000 0.000
La: 0.573 0.291 0.000
La: 0.709 0.573 0.000
La: 0.791 0.073 0.000
La: 0.927 0.791 0.000
Tl: 0.178 0.678 0.500
Tl: 0.322 0.178 0.500
Tl: 0.678 0.822 0.500
Tl: 0.822 0.322 0.500
Cd: 0.000 0.000 0.500
Cd: 0.500 0.500 0.500
Rh: 0.130 0.370 0.500
Rh: 0.370 0.870 0.500
Rh: 0.630 0.130 0.500
Rh: 0.870 0.630 0.500

Output
energy of formation = -0.506 eV per atom
crystal system = tetragonal
total magnetic moment = 0.0 μB per formula unit

=====

No. 10
Here is LaDy4P5 after structural relaxation from Alexandria. Energies are from PBE.

Cell lengths 7.032, 7.032, 9.958 Å; angles 118.13, 118.13, 33.59 degrees
Element x y z (fractional)
La: 0.000 0.000 0.000
Dy: 0.200 0.200 0.796
Dy: 0.402 0.402 0.600
Dy: 0.598 0.598 0.400
Dy: 0.800 0.800 0.204
P: 0.000 0.000 0.500
P: 0.203 0.203 0.308
P: 0.395 0.395 0.105
P: 0.605 0.605 0.895
P: 0.797 0.797 0.692

Output
energy of formation = -1.592 eV per atom
crystal system = monoclinic
total magnetic moment = 0.0 μB per formula unit

=====

No. 11
Here is CuNiPd2 after structural relaxation from Alexandria. Energies are from PBE.

Cell lengths 5.447, 5.447, 5.447 Å; angles 103.48, 103.48, 122.27 degrees
Element x y z (fractional)
Cu: 0.000 0.000 0.000
Cu: 0.750 0.250 0.500
Ni: 0.250 0.750 0.500
Ni: 0.500 0.500 0.000
Pd: 0.131 0.625 0.006
Pd: 0.375 0.381 0.506
Pd: 0.619 0.125 0.994
Pd: 0.875 0.869 0.494

Output
energy of formation = 0.363 eV per atom
crystal system = tetragonal
total magnetic moment = 1.1 μB per formula unit

=====

No. 12
Here is Cr2CuAg after structural relaxation from Alexandria. Energies are from PBE.

Cell lengths 4.253, 4.253, 4.253 Å; angles 60.00, 60.00, 60.00 degrees
Element x y z (fractional)
Cr: 0.250 0.250 0.250
Cr: 0.750 0.750 0.750
Cu: 0.000 0.000 0.000
Ag: 0.500 0.500 0.500

Output
energy of formation = 0.907 eV per atom
crystal system = cubic
energy relative to the lowest polymorph listed for this composition = 621 meV per atom
total magnetic moment = 0.0 μB per formula unit